# Ag3PbSe

A crystal of Ag3PbSe relaxed with PBEsol (meta-GGA SCAN, Alexandria).

Lattice parameters (Å, degrees): 5.1871 5.1871 5.1871 90.00 90.00 90.00
With the nearest neighbours (Å) after each atom.
Space group Pm-3m (No. 221)
Inequivalent atoms, fractional coordinates:
Ag 0.0000 0.0000 0.5000 (multiplicity 3)  2 Pb 2.59
Pb 0.0000 0.0000 0.0000 (multiplicity 1)  6 Ag 2.59
Se 0.5000 0.5000 0.5000 (multiplicity 1)  12 Ag 3.67

Results
Energy relative to the elements, uncorrected ... 431 kJ/mol of formula units
DFT total energy ... -37.10 eV per atom
ρ ... 7.25 g/cm3